Entry from Alexandria: Ti2Ru2Rh after structural relaxation (GGA-PBE).

space-group type = P4/mbm
total DFT energy (no corrections) = -8.646 eV per atom
total moment = 0.00 Bohr magnetons per cell
DFT formation energy = -0.308 eV/atom

```
Ti2Ru2Rh
1.0
7.054 0.000 0.000
0.000 7.054 0.000
0.000 0.000 3.059
Ti Ru Rh
4 4 2
Direct
0.174 0.326 0.000
0.326 0.826 0.000
0.674 0.174 0.000
0.826 0.674 0.000
0.131 0.631 0.500
0.369 0.131 0.500
0.631 0.869 0.500
0.869 0.369 0.500
0.000 0.000 0.500
0.500 0.500 0.500
```



Entry from Alexandria: TiRuRh2 after structural relaxation (GGA-PBE).

space-group type = I-42d
total DFT energy (no corrections) = -7.940 eV per atom
total moment = 0.00 Bohr magnetons per cell
DFT formation energy = 0.029 eV/atom

```
TiRuRh2
1.0
-1.871 1.871 8.912
1.871 -1.871 8.912
1.871 1.871 -8.912
Ti Ru Rh
2 2 4
Direct
0.000 0.000 0.000
0.750 0.250 0.500
0.250 0.750 0.500
0.500 0.500 0.000
0.125 0.625 0.000
0.375 0.375 0.500
0.625 0.125 0.000
0.875 0.875 0.500
```



Entry from Alexandria: Ti2RuRh9 after structural relaxation (GGA-PBE).

space-group type = P4/mmm
total DFT energy (no corrections) = -8.010 eV per atom
total moment = 0.00 Bohr magnetons per cell
DFT formation energy = -0.408 eV/atom

```
Ti2RuRh9
1.0
3.843 0.000 0.000
0.000 3.843 0.000
0.000 0.000 11.586
Ti Ru Rh
2 1 9
Direct
0.000 0.000 0.161
0.000 0.000 0.839
0.000 0.000 0.500
0.000 0.500 0.000
0.000 0.500 0.336
0.000 0.500 0.664
0.500 0.000 0.000
0.500 0.000 0.336
0.500 0.000 0.664
0.500 0.500 0.169
0.500 0.500 0.500
0.500 0.500 0.831
```



Entry from Alexandria: TiRuRh2 after structural relaxation (GGA-PBE).

space-group type = Cm
total DFT energy (no corrections) = -8.216 eV per atom
total moment = 0.00 Bohr magnetons per cell
DFT formation energy = -0.248 eV/atom

```
TiRuRh2
1.0
1.964 -1.980 0.000
1.964 1.980 0.000
-0.255 0.000 7.517
Ti Ru Rh
1 1 2
Direct
0.000 0.000 0.000
0.565 0.565 0.744
0.035 0.035 0.504
0.528 0.528 0.241
```



Entry from Alexandria: TiTlRuRh after structural relaxation (GGA-PBE).

space-group type = F-43m
total DFT energy (no corrections) = -6.978 eV per atom
total moment = 0.00 Bohr magnetons per cell
DFT formation energy = -0.256 eV/atom

```
TiTlRuRh
1.0
0.000 3.188 3.188
3.188 0.000 3.188
3.188 3.188 0.000
Ti Tl Ru Rh
1 1 1 1
Direct
0.000 0.000 0.000
0.500 0.500 0.500
0.750 0.750 0.750
0.250 0.250 0.250
```



Entry from Alexandria: TmTiRuRh after structural relaxation (GGA-PBE).

space-group type = F-43m
total DFT energy (no corrections) = -7.915 eV per atom
total moment = 0.00 Bohr magnetons per cell
DFT formation energy = -0.666 eV/atom

```
TmTiRuRh
1.0
0.000 3.229 3.229
3.229 0.000 3.229
3.229 3.229 0.000
Tm Ti Ru Rh
1 1 1 1
Direct
0.000 0.000 0.000
0.500 0.500 0.500
0.250 0.250 0.250
0.750 0.750 0.750
```



Entry from Alexandria: YTiRuRh after structural relaxation (GGA-PBE).

space-group type = F-43m
total DFT energy (no corrections) = -8.294 eV per atom
total moment = 0.00 Bohr magnetons per cell
DFT formation energy = -0.547 eV/atom

```
YTiRuRh
1.0
0.000 3.260 3.260
3.260 0.000 3.260
3.260 3.260 0.000
Y Ti Ru Rh
1 1 1 1
Direct
0.000 0.000 0.000
0.500 0.500 0.500
0.750 0.750 0.750
0.250 0.250 0.250
```



Entry from Alexandria: TiZn2RuRh after structural relaxation (GGA-PBE).

space-group type = P4/mmm
total DFT energy (no corrections) = -4.688 eV per atom
total moment = 0.00 Bohr magnetons per cell
DFT formation energy = 0.726 eV/atom

```
TiZn2RuRh
1.0
4.606 0.000 0.000
0.000 4.606 0.000
0.000 0.000 4.497
Ti Zn Ru Rh
1 2 1 1
Direct
0.000 0.000 0.000
0.000 0.500 0.500
0.500 0.000 0.500
0.500 0.500 0.000
0.000 0.000 0.500
```



Entry from Alexandria: ZrTi2RuRh after structural relaxation (GGA-PBE).

space-group type = P4/mmm
total DFT energy (no corrections) = -7.784 eV per atom
total moment = 0.00 Bohr magnetons per cell
DFT formation energy = 0.409 eV/atom

```
ZrTi2RuRh
1.0
4.488 0.000 0.000
0.000 4.488 0.000
0.000 0.000 5.005
Zr Ti Ru Rh
1 2 1 1
Direct
0.000 0.000 0.000
0.000 0.500 0.500
0.500 0.000 0.500
0.500 0.500 0.500
0.500 0.500 0.000
```



Entry from Alexandria: TlRu2Rh after structural relaxation (GGA-PBE).

space-group type = P4/mmm
total DFT energy (no corrections) = -6.581 eV per atom
polymorph energy (0 for the lowest one) = 0.180 eV per atom
total moment = 0.00 Bohr magnetons per cell
DFT formation energy = 0.486 eV/atom

```
TlRu2Rh
1.0
2.879 0.000 0.000
0.000 2.879 0.000
0.000 0.000 7.736
Tl Ru Rh
1 2 1
Direct
0.000 0.000 0.000
0.500 0.500 0.273
0.500 0.500 0.727
0.000 0.000 0.500
```



Entry from Alexandria: Tl2RuRh after structural relaxation (GGA-PBE).

space-group type = Pm
total DFT energy (no corrections) = -4.919 eV per atom
polymorph energy (0 for the lowest one) = 0.081 eV per atom
total moment = 0.00 Bohr magnetons per cell
DFT formation energy = 0.421 eV/atom

```
Tl2RuRh
1.0
3.385 0.000 0.000
0.000 4.420 0.000
-1.654 0.000 5.113
Tl Ru Rh
2 1 1
Direct
0.000 0.000 0.000
0.271 0.500 0.556
0.721 0.000 0.456
0.552 0.500 0.104
```



Entry from Alexandria: TlRu2Rh after structural relaxation (GGA-PBE).

space-group type = I-4m2
total DFT energy (no corrections) = -6.657 eV per atom
polymorph energy (0 for the lowest one) = 0.104 eV per atom
total moment = 0.45 Bohr magnetons per cell
DFT formation energy = 0.410 eV/atom

```
TlRu2Rh
1.0
-1.992 1.992 3.989
1.992 -1.992 3.989
1.992 1.992 -3.989
Tl Ru Rh
1 2 1
Direct
0.000 0.000 0.000
0.500 0.500 0.000
0.750 0.250 0.500
0.250 0.750 0.500
```



Q: Which of these has the highest total moment?
A: number 12



Q: Which of these has the highest DFT formation energy?
A: TiZn2RuRh



Q: total moment of number 12 (TlRu2Rh)?
A: 0.45 Bohr magnetons per cell



Q: What is the DFT formation energy in the eighth record?
A: 0.726 eV/atom